No. 1
NdDyAsO | PBE-GGA | relaxed

Cell: 4.405 4.405 9.067 Å, 90.00 90.00 90.00°
Element x y z (fractional)
As 0.750 0.750 0.302
As 0.250 0.250 0.698
Dy 0.750 0.250 0.500
Dy 0.250 0.750 0.500
Nd 0.250 0.250 0.109
Nd 0.750 0.750 0.891
O 0.750 0.250 0.000
O 0.250 0.750 0.000

Computed properties:
The space group is P4/nmm. The calculation puts the density at 7.5 g cm⁻³. Its energy above the most stable polymorph in this dataset is 1.549 kcal/mol of atoms.

***

No. 2
RbCuTePt | PBE-GGA | relaxed

Cell: 5.037 5.037 5.037 Å, 60.00 60.00 60.00°
Element x y z (fractional)
Cu 0.750 0.750 0.750
Pt 0.250 0.250 0.250
Rb 0.500 0.500 0.500
Te 0.000 0.000 0.000

Computed properties:
The space group is F-43m. The calculation puts the density at 8.7 g cm⁻³. Its energy above the most stable polymorph in this dataset is 0.000 kcal/mol of atoms.

***

No. 3
Co3Bi | PBE-GGA | relaxed

Cell: 3.790 3.790 3.790 Å, 90.00 90.00 90.00°
Site moments in Bohr magnetons follow the coordinates.
Element x y z (fractional)
Bi 0.000 0.000 0.000  -0.07
Co 0.500 0.500 0.000  0.85
Co 0.500 0.000 0.500  0.85
Co 0.000 0.500 0.500  0.58

Computed properties:
The space group is Pm-3m. The calculation puts the density at 11.8 g cm⁻³. Its energy above the most stable polymorph in this dataset is 1.190 kcal/mol of atoms.